No. 1
Below is a relaxed TiPtI2Cl crystal, with properties calculated at the PBE level.

**Total moment**: 1.58 Bohr magnetons per cell
**DOS(E_F)**: 9.3 states/eV/cell
**Formation energy from raw total energies**: 0.23 eV/atom
**Crystal system**: tetragonal

abc: 5.4347 5.4347 5.1206
angles: 90.00 90.00 90.00
Last column: nearest neighbours and their distance in Å.
Space group P4/mmm (No. 123)
Inequivalent atoms, fractional coordinates:
Ti1 0.0000 0.0000 0.0000  2 Pt 2.56
Pt1 0.0000 0.0000 0.5000  2 Ti 2.56, 4 I 2.72
I1 0.0000 0.5000 0.5000  2 Pt 2.72
Cl1 0.5000 0.5000 0.0000  8 I 3.73, 4 Ti 3.84

No. 2
Below is a relaxed Zr2PtICl crystal, with properties calculated at the PBE level.

**Total moment**: 0.00 Bohr magnetons per cell
**DOS(E_F)**: 5.1 states/eV/cell
**Formation energy from raw total energies**: 0.58 eV/atom
**Crystal system**: tetragonal

abc: 4.6984 4.6984 5.7599
angles: 90.00 90.00 90.00
Last column: nearest neighbours and their distance in Å.
Space group P4/mmm (No. 123)
Inequivalent atoms, fractional coordinates:
Zr1 0.0000 0.5000 0.0000  2 Cl 2.35
Pt1 0.0000 0.0000 0.5000  4 I 3.32, 8 Zr 3.72
I1 0.5000 0.5000 0.5000  2 Cl 2.88
Cl1 0.5000 0.5000 0.0000  4 Zr 2.35

No. 3
Below is a relaxed PuI2Cl8 crystal, with properties calculated at the PBE level.

**Total moment**: 6.34 Bohr magnetons per cell
**DOS(E_F)**: 16.2 states/eV/cell
**Formation energy from raw total energies**: -0.81 eV/atom
**Crystal system**: monoclinic

abc: 16.4953 7.1386 7.5676
angles: 90.00 109.33 90.00
Last column: nearest neighbours and their distance in Å.
Space group C2/m (No. 12)
Inequivalent atoms, fractional coordinates:
Pu1 0.0000 0.0000 0.0000  6 Cl 2.48-2.69
I1 0.2465 0.5000 0.5236  1 Cl 2.38
Cl1 0.0808 0.0000 0.3720  1 Pu 2.69, 1 I 2.69
Cl2 0.0937 0.5000 0.4329  1 I 2.38
Cl3 0.0999 0.2430 0.9596  1 Pu 2.48

No. 4
Below is a relaxed Pu3ICl7 crystal, with properties calculated at the PBE level.

**Total moment**: 16.00 Bohr magnetons per cell
**DOS(E_F)**: 32.4 states/eV/cell
**Formation energy from raw total energies**: -1.80 eV/atom
**Crystal system**: trigonal

abc: 8.5201 8.5201 6.9904
angles: 90.00 90.00 120.00
Last column: nearest neighbours and their distance in Å.
Space group P3m1 (No. 156)
Inequivalent atoms, fractional coordinates:
Pu1 0.0049 0.5025 0.0000  5 Cl 2.73-2.85
I1 0.6667 0.3333 0.2864  3 Pu 3.20
Cl1 0.1813 0.3627 0.2016  2 Pu 2.73
Cl2 0.3333 0.6667 0.7851  3 Pu 2.85
Cl3 0.3649 0.1824 0.8053  2 Pu 2.74

No. 5
Below is a relaxed Pu2I3Cl2 crystal, with properties calculated at the PBE level.

**Total moment**: 22.00 Bohr magnetons per cell
**DOS(E_F)**: 60.1 states/eV/cell
**Formation energy from raw total energies**: -1.40 eV/atom
**Crystal system**: monoclinic

abc: 14.2155 4.2704 8.2428
angles: 90.00 104.59 90.00
Last column: nearest neighbours and their distance in Å.
Space group C2/m (No. 12)
Inequivalent atoms, fractional coordinates:
Pu1 0.1840 0.0000 0.2020  3 Cl 2.83-2.97
I1 0.0000 0.5000 0.0000  4 Pu 3.46, 2 I 3.78
I2 0.1312 0.5000 0.4603  3 Pu 3.23-3.31
Cl1 0.1955 0.0000 0.8472  3 Pu 2.83-2.97

No. 6
Below is a relaxed Pu2ICl5 crystal, with properties calculated at the PBE level.

**Total moment**: 20.00 Bohr magnetons per cell
**DOS(E_F)**: 40.4 states/eV/cell
**Formation energy from raw total energies**: -1.66 eV/atom
**Crystal system**: orthorhombic

abc: 4.6188 8.4857 11.1034
angles: 90.00 90.00 90.00
Last column: nearest neighbours and their distance in Å.
Space group Immm (No. 71)
Inequivalent atoms, fractional coordinates:
Pu1 0.0000 0.0000 0.2396  7 Cl 2.66-2.90
I1 0.0000 0.5000 0.0000  4 Pu 3.70, 12 Cl 4.00
Cl1 0.0000 0.0000 0.0000  2 Pu 2.66
Cl2 0.0000 0.3146 0.3307  3 Pu 2.86-2.90, 3 Cl 3.12-3.15

No. 7
Below is a relaxed Pu2ICl crystal, with properties calculated at the PBE level.

**Total moment**: 36.59 Bohr magnetons per cell
**DOS(E_F)**: 44.6 states/eV/cell
**Formation energy from raw total energies**: -0.76 eV/atom
**Crystal system**: trigonal

abc: 4.0982 4.0982 21.8892
angles: 90.00 90.00 120.00
Last column: nearest neighbours and their distance in Å.
Space group R-3m (No. 166, hexagonal axes)
Inequivalent atoms, fractional coordinates:
Pu1 0.0000 0.0000 0.2349  3 Cl 2.80
I1 0.0000 0.0000 0.0000  6 Pu 3.20
Cl1 0.0000 0.0000 0.5000  6 Pu 2.80

No. 8
Below is a relaxed PuICl3 crystal, with properties calculated at the PBE level.

**Total moment**: 7.99 Bohr magnetons per cell
**DOS(E_F)**: 17.5 states/eV/cell
**Formation energy from raw total energies**: -1.44 eV/atom
**Crystal system**: orthorhombic
**E above lowest polymorph**: 0 meV per atom

abc: 10.0515 4.0957 9.6667
angles: 90.00 90.00 90.00
Last column: nearest neighbours and their distance in Å.
Space group Pmma (No. 51)
Inequivalent atoms, fractional coordinates:
Pu1 0.2500 0.0000 0.2181  5 Cl 2.49-2.70
I1 0.2500 0.0000 0.5223  1 Pu 2.94
Cl1 0.0753 0.5000 0.2243  2 Pu 2.70
Cl2 0.2500 0.0000 0.9610  1 Pu 2.49